Entry 1:
Density functional theory data (PBE-GGA) for an optimized crystal structure of SrTiW2Br.

CIF file:
```
data_SrTiW2Br
_cell_length_a 4.583
_cell_length_b 4.583
_cell_length_c 6.973
_cell_angle_alpha 90.00
_cell_angle_beta 90.00
_cell_angle_gamma 90.00
_space_group_name_H-M_alt 'P 1'
_space_group_IT_number 1
loop_
_space_group_symop_operation_xyz
'x,y,z'
loop_
_atom_site_label
_atom_site_type_symbol
_atom_site_fract_x
_atom_site_fract_y
_atom_site_fract_z
_atom_site_occupancy
Sr1 Sr 0.000 0.000 0.000 1
Ti1 Ti 0.000 0.000 0.500 1
W1 W 0.000 0.500 0.500 1
W2 W 0.500 0.000 0.500 1
Br1 Br 0.500 0.500 0.000 1
```

Values from the calculation:
Calculated density in g/cm3: 6.61
DOS at the Fermi energy in states/eV per atom: 0.931

Entry 2:
Density functional theory data (PBE-GGA) for an optimized crystal structure of Sr2YTiBr.

CIF file:
```
data_Sr2YTiBr
_cell_length_a 5.993
_cell_length_b 5.993
_cell_length_c 4.962
_cell_angle_alpha 90.00
_cell_angle_beta 90.00
_cell_angle_gamma 90.00
_space_group_name_H-M_alt 'P 1'
_space_group_IT_number 1
loop_
_space_group_symop_operation_xyz
'x,y,z'
loop_
_atom_site_label
_atom_site_type_symbol
_atom_site_fract_x
_atom_site_fract_y
_atom_site_fract_z
_atom_site_occupancy
Sr1 Sr 0.000 0.500 0.000 1
Sr2 Sr 0.500 0.000 0.000 1
Y1 Y 0.000 0.000 0.500 1
Ti1 Ti 0.500 0.500 0.500 1
Br1 Br 0.500 0.500 0.000 1
```

Values from the calculation:
Calculated density in g/cm3: 3.65
DOS at the Fermi energy in states/eV per atom: 1.406

no.,V (A^3/atom),ΔE_f (raw) (eV/atom)
1,29.29,1.311
2,35.64,0.108